(1)
Here is SrAlCuTe3 after structural relaxation from OQMD. Energies are from PBE-GGA.

Calculated values
electronic total energy	-3.757	eV/atom

Unit cell a=4.2085 b=13.8596 c=10.9966 alpha=90.00 beta=90.00 gamma=90.00
Closest atoms and distances in Å follow each position.
Space group Cmcm (No. 63)
Symmetry-distinct sites (fractional):
1 Sr 0.0000 0.2410 0.2500 (multiplicity 4)  8 Te 3.37-3.63, 2 Cu 3.45
2 Al 0.0000 0.0000 0.0000 (multiplicity 4)  6 Te 2.85-2.91
3 Cu 0.0000 0.4564 0.7500 (multiplicity 4)  4 Te 2.62
4 Te 0.0000 0.0690 0.7500 (multiplicity 4)  2 Cu 2.62, 2 Al 2.91
5 Te 0.0000 0.3651 0.5411 (multiplicity 8)  1 Cu 2.62, 2 Al 2.85

---

(2)
Here is SrAlCuTe3 after structural relaxation from OQMD. Energies are from PBE-GGA.

Calculated values
electronic total energy	-3.815	eV/atom

Unit cell a=8.7156 b=4.2295 c=9.3580 alpha=90.00 beta=104.13 gamma=90.00
Closest atoms and distances in Å follow each position.
Space group P2_1/m (No. 11)
Symmetry-distinct sites (fractional):
1 Sr 0.1847 0.2500 0.2580 (multiplicity 2)  7 Te 3.36-3.55, 3 Cu 3.37-3.64
2 Al 0.3340 0.7500 0.8518 (multiplicity 2)  6 Te 2.73-2.89
3 Cu 0.0614 0.2500 0.5720 (multiplicity 2)  2 Cu 2.59, 4 Te 2.64-2.71
4 Te 0.1190 0.2500 0.8684 (multiplicity 2)  1 Cu 2.70, 2 Al 2.86
5 Te 0.2466 0.7500 0.5454 (multiplicity 2)  3 Cu 2.64-2.71, 1 Al 2.78
6 Te 0.4417 0.7500 0.1518 (multiplicity 2)  3 Al 2.73-2.89

---

(3)
Here is TaAlCu2 after structural relaxation from OQMD. Energies are from PBE-GGA.

Calculated values
electronic total energy	-5.629	eV/atom
total magnetic moment	0.003	μB per formula unit

Unit cell a=6.1136 b=6.1136 c=6.1136 alpha=90.00 beta=90.00 gamma=90.00
Closest atoms and distances in Å follow each position.
Space group F-43m (No. 216)
Symmetry-distinct sites (fractional):
1 Ta 0.0000 0.0000 0.0000 (multiplicity 4)  4 Cu 2.65, 4 Al 2.65
2 Al 0.2500 0.2500 0.7500 (multiplicity 4)  4 Ta 2.65, 4 Cu 2.65
3 Cu 0.0000 0.0000 0.5000 (multiplicity 4)  4 Al 2.65, 4 Cu 2.65
4 Cu 0.2500 0.2500 0.2500 (multiplicity 4)  4 Cu 2.65, 4 Ta 2.65

---

(4)
Here is TaAl2Cu after structural relaxation from OQMD. Energies are from PBE-GGA.

Calculated values
electronic total energy	-5.573	eV/atom
total magnetic moment	0.977	μB per formula unit

Unit cell a=6.2748 b=6.2748 c=6.2748 alpha=90.00 beta=90.00 gamma=90.00
Closest atoms and distances in Å follow each position.
Space group F-43m (No. 216)
Symmetry-distinct sites (fractional):
1 Ta 0.0000 0.0000 0.0000 (multiplicity 4)  4 Al 2.72, 4 Cu 2.72
2 Al 0.0000 0.0000 0.5000 (multiplicity 4)  4 Cu 2.72, 4 Al 2.72
3 Al 0.2500 0.2500 0.7500 (multiplicity 4)  4 Al 2.72, 4 Ta 2.72
4 Cu 0.2500 0.2500 0.2500 (multiplicity 4)  4 Ta 2.72, 4 Al 2.72

---

(5)
Here is TaAlCuW after structural relaxation from OQMD. Energies are from PBE-GGA.

Calculated values
electronic total energy	-7.915	eV/atom
total magnetic moment	0.007	μB per formula unit

Unit cell a=6.2882 b=6.2882 c=6.2882 alpha=90.00 beta=90.00 gamma=90.00
Closest atoms and distances in Å follow each position.
Space group F-43m (No. 216)
Symmetry-distinct sites (fractional):
1 Ta 0.0000 0.0000 0.0000 (multiplicity 4)  4 W 2.72, 4 Cu 2.72
2 Al 0.0000 0.0000 0.5000 (multiplicity 4)  4 W 2.72, 4 Cu 2.72
3 Cu 0.2500 0.2500 0.7500 (multiplicity 4)  4 Ta 2.72, 4 Al 2.72
4 W 0.2500 0.2500 0.2500 (multiplicity 4)  4 Al 2.72, 4 Ta 2.72

---

(6)
Here is YTaAlCu after structural relaxation from OQMD. Energies are from PBE-GGA.

Calculated values
electronic total energy	-6.060	eV/atom
total magnetic moment	1.811	μB per formula unit

Unit cell a=6.7267 b=6.7267 c=6.7267 alpha=90.00 beta=90.00 gamma=90.00
Closest atoms and distances in Å follow each position.
Space group F-43m (No. 216)
Symmetry-distinct sites (fractional):
1 Y 0.0000 0.0000 0.0000 (multiplicity 4)  4 Ta 2.91, 4 Cu 2.91
2 Ta 0.2500 0.2500 0.2500 (multiplicity 4)  4 Al 2.91, 4 Y 2.91
3 Al 0.0000 0.0000 0.5000 (multiplicity 4)  4 Ta 2.91, 4 Cu 2.91
4 Cu 0.2500 0.2500 0.7500 (multiplicity 4)  4 Y 2.91, 4 Al 2.91

---

(7)
Here is TaAlZnCu after structural relaxation from OQMD. Energies are from PBE-GGA.

Calculated values
electronic total energy	-4.982	eV/atom
total magnetic moment	0.606	μB per formula unit

Unit cell a=6.1913 b=6.1913 c=6.1913 alpha=90.00 beta=90.00 gamma=90.00
Closest atoms and distances in Å follow each position.
Space group F-43m (No. 216)
Symmetry-distinct sites (fractional):
1 Ta 0.0000 0.0000 0.0000 (multiplicity 4)  4 Zn 2.68, 4 Cu 2.68
2 Al 0.0000 0.0000 0.5000 (multiplicity 4)  4 Cu 2.68, 4 Zn 2.68
3 Zn 0.2500 0.2500 0.2500 (multiplicity 4)  4 Ta 2.68, 4 Al 2.68
4 Cu 0.2500 0.2500 0.7500 (multiplicity 4)  4 Ta 2.68, 4 Al 2.68

---

(8)
Here is TaAlZnCu after structural relaxation from OQMD. Energies are from PBE-GGA.

Calculated values
electronic total energy	-4.960	eV/atom
total magnetic moment	0.003	μB per formula unit

Unit cell a=6.2263 b=6.2263 c=6.2263 alpha=90.00 beta=90.00 gamma=90.00
Closest atoms and distances in Å follow each position.
Space group F-43m (No. 216)
Symmetry-distinct sites (fractional):
1 Ta 0.0000 0.0000 0.0000 (multiplicity 4)  4 Al 2.70, 4 Zn 2.70
2 Al 0.2500 0.2500 0.2500 (multiplicity 4)  4 Ta 2.70, 4 Cu 2.70
3 Zn 0.2500 0.2500 0.7500 (multiplicity 4)  4 Ta 2.70, 4 Cu 2.70
4 Cu 0.0000 0.0000 0.5000 (multiplicity 4)  4 Zn 2.70, 4 Al 2.70

---

(9)
Here is TbAl6Cu after structural relaxation from OQMD. Energies are from PBE-GGA.

Calculated values
electronic total energy	-3.944	eV/atom
total magnetic moment	0.001	μB per formula unit

Unit cell a=6.0270 b=6.0270 c=4.5481 alpha=90.00 beta=90.00 gamma=120.00
Closest atoms and distances in Å follow each position.
Space group P-6m2 (No. 187)
Symmetry-distinct sites (fractional):
1 Tb 0.0000 0.0000 0.0000 (multiplicity 1)  12 Al 2.96-3.01
2 Al 0.1819 0.3638 0.5000 (multiplicity 3)  6 Al 2.74-2.84, 2 Tb 2.96, 2 Cu 3.02
3 Al 0.5048 0.0095 0.0000 (multiplicity 3)  2 Cu 2.83, 8 Al 2.84-3.10, 2 Tb 3.01
4 Cu 0.6667 0.3333 0.5000 (multiplicity 1)  12 Al 2.83-3.02

---

(10)
Here is TbAl2Cu3 after structural relaxation from OQMD. Energies are from PBE-GGA.

Calculated values
electronic total energy	-4.221	eV/atom
total magnetic moment	0.000	μB per formula unit

Unit cell a=5.2519 b=5.2519 c=3.9954 alpha=90.00 beta=90.00 gamma=120.00
Closest atoms and distances in Å follow each position.
Space group P6/mmm (No. 191)
Symmetry-distinct sites (fractional):
1 Tb 0.0000 0.0000 0.0000 (multiplicity 1)  6 Al 3.03, 12 Cu 3.30
2 Al 0.3333 0.6667 0.0000 (multiplicity 2)  6 Cu 2.51
3 Cu 0.0000 0.5000 0.5000 (multiplicity 3)  4 Al 2.51, 4 Cu 2.63

---

(11)
Here is Tb2Al5Cu5 after structural relaxation from OQMD. Energies are from PBE-GGA.

Calculated values
electronic total energy	-4.320	eV/atom
total magnetic moment	0.005	μB per formula unit

Unit cell a=4.1084 b=5.2803 c=9.0057 alpha=90.00 beta=90.00 gamma=90.00
Closest atoms and distances in Å follow each position.
Space group Pmmm (No. 47)
Symmetry-distinct sites (fractional):
1 Tb 0.0000 0.0000 0.0000 (multiplicity 1)  10 Cu 3.00-3.35, 8 Al 3.26
2 Tb 0.0000 0.5000 0.5000 (multiplicity 1)  6 Cu 3.01-3.04, 4 Al 3.35
3 Al 0.5000 0.0000 0.5000 (multiplicity 1)  4 Cu 2.54, 4 Al 2.70
4 Al 0.5000 0.2506 0.2390 (multiplicity 4)  5 Cu 2.52-2.59, 3 Al 2.63-2.70
5 Cu 0.0000 0.0000 0.3333 (multiplicity 2)  6 Al 2.54-2.59
6 Cu 0.0000 0.5000 0.1655 (multiplicity 2)  4 Al 2.53, 2 Cu 2.54
7 Cu 0.5000 0.5000 0.0000 (multiplicity 1)  4 Al 2.52, 4 Cu 2.54

---

(12)
Here is TbTmAl4Cu2 after structural relaxation from OQMD. Energies are from PBE-GGA.

Calculated values
electronic total energy	-4.380	eV/atom
total magnetic moment	0.006	μB per formula unit

Unit cell a=6.7760 b=4.2130 c=10.0540 alpha=90.00 beta=90.00 gamma=90.00
Closest atoms and distances in Å follow each position.
Space group Amm2 (No. 38)
Symmetry-distinct sites (fractional):
1 Tb 0.0000 0.0000 0.0000 (multiplicity 2)  3 Cu 2.86-3.02, 4 Al 3.02
2 Tm 0.5000 0.0000 0.1440 (multiplicity 2)  3 Cu 2.85-3.03, 4 Al 3.01
3 Al 0.1974 0.0000 0.7104 (multiplicity 4)  3 Cu 2.55-2.60, 1 Al 2.67
4 Al 0.3042 0.0000 0.4329 (multiplicity 4)  3 Cu 2.55-2.59, 1 Al 2.65
5 Cu 0.0000 0.0000 0.2843 (multiplicity 2)  6 Al 2.55-2.60
6 Cu 0.5000 0.0000 0.8603 (multiplicity 2)  6 Al 2.55-2.59

---

Number 1: calculated volume 26.7 Å³/atom. Number 2: calculated volume 27.9 Å³/atom. Number 3: calculated volume 14.3 Å³/atom. Number 4: calculated volume 15.4 Å³/atom. Number 5: calculated volume 15.5 Å³/atom. Number 6: calculated volume 19.0 Å³/atom. Number 7: calculated volume 14.8 Å³/atom. Number 8: calculated volume 15.1 Å³/atom. Number 9: calculated volume 17.9 Å³/atom. Number 10: calculated volume 15.9 Å³/atom. Number 11: calculated volume 16.3 Å³/atom. Number 12: calculated volume 17.9 Å³/atom.